No. 1
Tb4MgRh | PBE-GGA | relaxed

a b c (Å): 9.7285 9.7285 9.7285
angles (deg): 60.00 60.00 60.00
Closest atoms and distances in Å follow each position.
Fractional coordinates of all 24 atoms:
Tb 0.0625 0.0625 0.4375  2 Rh 2.83
Tb 0.0625 0.4375 0.0625  2 Rh 2.83
Tb 0.0625 0.4375 0.4375  2 Rh 2.83
Tb 0.1855 0.1855 0.8145  2 Mg 3.32, 2 Rh 3.53, 10 Tb 3.54-3.65
Tb 0.1855 0.8145 0.1855  2 Mg 3.32, 2 Rh 3.53, 10 Tb 3.54-3.65
Tb 0.1855 0.8145 0.8145  2 Mg 3.32, 2 Rh 3.53, 10 Tb 3.54-3.65
Tb 0.2079 0.5974 0.5974  3 Rh 2.83
Tb 0.4375 0.0625 0.0625  2 Rh 2.83
Tb 0.4375 0.0625 0.4375  2 Rh 2.83
Tb 0.4375 0.4375 0.0625  2 Rh 2.83
Tb 0.5974 0.2079 0.5974  3 Rh 2.83
Tb 0.5974 0.5974 0.2079  3 Rh 2.83
Tb 0.5974 0.5974 0.5974  3 Rh 2.83
Tb 0.8145 0.1855 0.1855  2 Mg 3.32, 2 Rh 3.53, 10 Tb 3.54-3.65
Tb 0.8145 0.1855 0.8145  2 Mg 3.32, 2 Rh 3.53, 10 Tb 3.54-3.65
Tb 0.8145 0.8145 0.1855  2 Mg 3.32, 2 Rh 3.53, 10 Tb 3.54-3.65
Mg 0.5109 0.8297 0.8297  3 Mg 3.10, 3 Tb 3.32
Mg 0.8297 0.5109 0.8297  3 Mg 3.10, 3 Tb 3.32
Mg 0.8297 0.8297 0.5109  3 Mg 3.10, 3 Tb 3.32
Mg 0.8297 0.8297 0.8297  3 Mg 3.10, 3 Tb 3.32
Rh 0.3921 0.3921 0.3921  6 Tb 2.83
Rh 0.3921 0.3921 0.8238  6 Tb 2.83
Rh 0.3921 0.8238 0.3921  6 Tb 2.83
Rh 0.8238 0.3921 0.3921  6 Tb 2.83

Calculated values
The volume comes out at 162.8 Å³/f.u. The total moment is 0.0 Bohr magnetons per cell. As for the crystal system: cubic. As for the formation energy: -0.40 eV/atom.

No. 2
Tb2Mg2Rh15 | PBE-GGA | relaxed

a b c (Å): 6.8262 6.8262 6.8262
angles (deg): 82.39 82.39 82.39
Closest atoms and distances in Å follow each position.
Fractional coordinates of all 19 atoms:
Tb 0.1494 0.1494 0.1494  15 Rh 3.13-3.44, 1 Mg 3.28
Tb 0.8506 0.8506 0.8506  15 Rh 3.13-3.44, 1 Mg 3.28
Mg 0.3959 0.3959 0.3959  12 Rh 2.73-3.05, 1 Mg 2.77
Mg 0.6041 0.6041 0.6041  12 Rh 2.73-3.05, 1 Mg 2.77
Rh 0.0000 0.5000 0.5000  8 Rh 2.61, 2 Mg 2.73
Rh 0.1492 0.1492 0.6528  8 Rh 2.61-2.80, 1 Mg 2.82
Rh 0.1492 0.6528 0.1492  8 Rh 2.61-2.80, 1 Mg 2.82
Rh 0.1981 0.5000 0.8019  8 Rh 2.61-2.80
Rh 0.1981 0.8019 0.5000  8 Rh 2.61-2.80
Rh 0.3472 0.8508 0.8508  8 Rh 2.61-2.80, 1 Mg 2.82
Rh 0.5000 0.0000 0.5000  8 Rh 2.61, 2 Mg 2.73
Rh 0.5000 0.1981 0.8019  8 Rh 2.61-2.80
Rh 0.5000 0.5000 0.0000  8 Rh 2.61, 2 Mg 2.73
Rh 0.5000 0.8019 0.1981  8 Rh 2.61-2.80
Rh 0.6528 0.1492 0.1492  8 Rh 2.61-2.80, 1 Mg 2.82
Rh 0.8019 0.1981 0.5000  8 Rh 2.61-2.80
Rh 0.8019 0.5000 0.1981  8 Rh 2.61-2.80
Rh 0.8508 0.3472 0.8508  8 Rh 2.61-2.80, 1 Mg 2.82
Rh 0.8508 0.8508 0.3472  8 Rh 2.61-2.80, 1 Mg 2.82

Calculated values
The volume comes out at 310.4 Å³/f.u. The total moment is 0.0 Bohr magnetons per cell. As for the crystal system: trigonal. As for the formation energy: -0.28 eV/atom.

No. 3
Tb3Mg4Rh4 | PBE-GGA | relaxed

a b c (Å): 8.6490 8.6490 8.6490
angles (deg): 154.80 124.82 61.59
Closest atoms and distances in Å follow each position.
Fractional coordinates of all 11 atoms:
Tb 0.0000 0.0000 0.0000  4 Rh 3.02
Tb 0.3896 0.8896 0.5000  6 Rh 2.84-2.99
Tb 0.6104 0.1104 0.5000  6 Rh 2.84-2.99
Mg 0.0151 0.3273 0.6878  4 Rh 2.65-2.77
Mg 0.3606 0.6727 0.6878  4 Rh 2.65-2.77
Mg 0.6394 0.3273 0.3122  4 Rh 2.65-2.77
Mg 0.9849 0.6727 0.3122  4 Rh 2.65-2.77
Rh 0.2468 0.2468 0.0000  6 Mg 2.65-2.77, 2 Tb 2.84
Rh 0.2951 0.5000 0.7951  2 Mg 2.71, 6 Tb 2.99-3.02
Rh 0.7049 0.5000 0.2049  2 Mg 2.71, 6 Tb 2.99-3.02
Rh 0.7532 0.7532 0.0000  6 Mg 2.65-2.77, 2 Tb 2.84

Calculated values
The volume comes out at 224.6 Å³/f.u. The total moment is 0.0 Bohr magnetons per cell. As for the crystal system: orthorhombic. As for the formation energy: -0.57 eV/atom.